Model one:
Density functional theory data (PBE-GGA) for crystalline HfPaRh2 at its relaxed geometry.

## Properties
Total magnetization in μB/cell: 0.00
DOS(E_F) in states/eV per atom: 0.89

abc: 3.2012 3.2012 7.3118
angles: 90.00 90.00 90.00
Last column: nearest neighbours and their distance in Å.
Atoms (fractional coordinates):
1 Rh 0.0000 0.0000 0.7824  4 Hf 2.77, 4 Pa 3.06
2 Rh 0.0000 0.0000 0.2176  4 Hf 2.77, 4 Pa 3.06
3 Hf 0.5000 0.5000 0.0000  8 Rh 2.77
4 Pa 0.5000 0.5000 0.5000  8 Rh 3.06, 4 Pa 3.20


Model two:
Density functional theory data (PBE-GGA) for crystalline HfPaRh2 at its relaxed geometry.

## Properties
Total magnetization in μB/cell: 0.00
DOS(E_F) in states/eV per atom: 0.74

abc: 4.1849 5.5361 7.1021
angles: 107.18 90.00 90.00
Last column: nearest neighbours and their distance in Å.
Atoms (fractional coordinates):
1 Hf 0.2500 0.2797 0.5652  6 Rh 2.72-3.00
2 Pa 0.7500 0.7203 0.9212  6 Rh 2.77-3.03
3 Rh 0.7500 0.1969 0.7932  3 Hf 2.77-3.08, 4 Pa 2.77-3.03, 2 Rh 2.94
4 Hf 0.7500 0.7203 0.4348  6 Rh 2.72-3.00
5 Rh 0.2500 0.8079 0.6899  4 Hf 2.72-3.00, 2 Pa 2.79, 2 Rh 2.94
6 Rh 0.7500 0.1921 0.3101  4 Hf 2.72-3.00, 2 Pa 2.79, 2 Rh 2.94
7 Pa 0.2500 0.2797 0.0788  6 Rh 2.77-3.03
8 Rh 0.2500 0.8031 0.2068  3 Hf 2.77-3.08, 4 Pa 2.77-3.03, 2 Rh 2.94


Model three:
Density functional theory data (PBE-GGA) for crystalline HfPaRh2 at its relaxed geometry.

## Properties
Total magnetization in μB/cell: 0.02
DOS(E_F) in states/eV per atom: 1.95

abc: 4.7679 4.7679 4.7679
angles: 60.00 60.00 60.00
Last column: nearest neighbours and their distance in Å.
Atoms (fractional coordinates):
1 Rh 0.2500 0.2500 0.2500  4 Pa 2.92, 4 Hf 2.92
2 Rh 0.7500 0.7500 0.7500  4 Hf 2.92, 4 Pa 2.92
3 Pa 0.0000 0.0000 0.0000  8 Rh 2.92
4 Hf 0.5000 0.5000 0.5000  8 Rh 2.92


Which of them is the least stable? Correct choice: model three.


Model one:
Density functional theory data (PBE-GGA) for crystalline HfPaRh at its relaxed geometry.

## Properties
Total magnetization in μB/cell: 0.00
DOS(E_F) in states/eV per atom: 1.26

abc: 5.0135 5.0135 6.8540
angles: 68.55 68.55 60.00
Last column: nearest neighbours and their distance in Å.
Atoms (fractional coordinates):
1 Rh 0.7651 0.7651 0.7046  1 Pa 2.53, 1 Hf 2.55
2 Rh 0.2349 0.2349 0.2954  1 Pa 2.53, 1 Hf 2.55
3 Pa 0.9008 0.9008 0.2975  1 Rh 2.53
4 Hf 0.6283 0.6283 0.1152  1 Rh 2.55
5 Hf 0.3717 0.3717 0.8848  1 Rh 2.55
6 Pa 0.0992 0.0992 0.7025  1 Rh 2.53


Model two:
Density functional theory data (PBE-GGA) for crystalline HfPaRh at its relaxed geometry.

## Properties
Total magnetization in μB/cell: 0.00
DOS(E_F) in states/eV per atom: 1.13

abc: 3.1969 3.1969 6.4798
angles: 104.28 104.28 90.00
Last column: nearest neighbours and their distance in Å.
Atoms (fractional coordinates):
1 Hf 0.3108 0.3108 0.6216  4 Rh 2.75
2 Rh 0.6813 0.6813 0.3625  4 Hf 2.75
3 Pa 0.0079 0.0079 0.0159  4 Rh 3.09, 4 Pa 3.20, 4 Hf 3.29


Model three:
Density functional theory data (PBE-GGA) for crystalline HfPaRh at its relaxed geometry.

## Properties
Total magnetization in μB/cell: 0.00
DOS(E_F) in states/eV per atom: 1.35

abc: 3.1393 4.7277 4.7277
angles: 120.00 90.00 90.00
Last column: nearest neighbours and their distance in Å.
Atoms (fractional coordinates):
1 Rh 0.3608 0.6667 0.3333  3 Pa 2.85, 3 Hf 2.93, 2 Rh 3.14
2 Hf 0.0190 0.0000 0.0000  3 Rh 2.93, 3 Pa 3.00, 2 Hf 3.14
3 Pa 0.6202 0.3333 0.6667  3 Rh 2.85, 3 Hf 3.00, 2 Pa 3.14


Which of them is the least stable? Correct choice: model one.


Model one:
Density functional theory data (PBE-GGA) for crystalline HfPa2Rh at its relaxed geometry.

## Properties
Total magnetization in μB/cell: 0.00
DOS(E_F) in states/eV per atom: 1.96

abc: 3.6115 3.6115 6.9213
angles: 90.00 90.00 90.00
Last column: nearest neighbours and their distance in Å.
Atoms (fractional coordinates):
1 Pa 0.0000 0.0000 0.2121  1 Pa 2.94, 4 Rh 2.95, 4 Hf 3.24
2 Hf 0.5000 0.5000 0.5000  8 Pa 3.24, 2 Rh 3.46, 4 Hf 3.61
3 Rh 0.5000 0.5000 0.0000  8 Pa 2.95
4 Pa 0.0000 0.0000 0.7879  1 Pa 2.94, 4 Rh 2.95, 4 Hf 3.24


Model two:
Density functional theory data (PBE-GGA) for crystalline HfPa2Rh at its relaxed geometry.

## Properties
Total magnetization in μB/cell: 0.00
DOS(E_F) in states/eV per atom: 1.50

abc: 3.1078 3.1078 10.6760
angles: 81.63 81.63 60.00
Last column: nearest neighbours and their distance in Å.
Atoms (fractional coordinates):
1 Rh 0.5000 0.5000 0.5000  6 Pa 2.94, 6 Rh 3.11
2 Pa 0.9069 0.9069 0.2792  3 Rh 2.94, 1 Hf 2.94, 6 Pa 3.11
3 Hf 0.0000 0.0000 0.0000  2 Pa 2.94, 6 Hf 3.11
4 Pa 0.0931 0.0931 0.7208  3 Rh 2.94, 1 Hf 2.94, 6 Pa 3.11


Which of them is the least stable? Correct choice: model two.


Model one:
Density functional theory data (PBE-GGA) for crystalline HfPa2Ru at its relaxed geometry.

## Properties
Total magnetization in μB/cell: 0.00
DOS(E_F) in states/eV per atom: 1.47

abc: 3.0823 3.0823 10.6961
angles: 81.72 81.72 60.00
Last column: nearest neighbours and their distance in Å.
Atoms (fractional coordinates):
1 Hf 0.0000 0.0000 0.0000  2 Pa 2.97, 6 Hf 3.08
2 Pa 0.0937 0.0937 0.7189  3 Ru 2.91, 1 Hf 2.97, 6 Pa 3.08
3 Pa 0.9063 0.9063 0.2811  3 Ru 2.91, 1 Hf 2.97, 6 Pa 3.08
4 Ru 0.5000 0.5000 0.5000  6 Pa 2.91, 6 Ru 3.08


Model two:
Density functional theory data (PBE-GGA) for crystalline HfPa2Ru at its relaxed geometry.

## Properties
Total magnetization in μB/cell: 0.00
DOS(E_F) in states/eV per atom: 1.61

abc: 3.5704 3.5704 7.0266
angles: 90.00 90.00 90.00
Last column: nearest neighbours and their distance in Å.
Atoms (fractional coordinates):
1 Hf 0.5000 0.5000 0.5000  8 Pa 3.25, 2 Ru 3.51, 4 Hf 3.57
2 Pa 0.0000 0.0000 0.7920  4 Ru 2.92, 1 Pa 2.92, 4 Hf 3.25
3 Ru 0.5000 0.5000 0.0000  8 Pa 2.92
4 Pa 0.0000 0.0000 0.2080  4 Ru 2.92, 1 Pa 2.92, 4 Hf 3.25


Which of them is the least stable? Correct choice: model one.


Model one:
Density functional theory data (PBE-GGA) for crystalline HfPa2S5 at its relaxed geometry.

## Properties
Total magnetization in μB/cell: 0.00
DOS(E_F) in states/eV per atom: 1.23

abc: 5.3096 6.6974 12.4604
angles: 90.00 90.00 113.35
Last column: nearest neighbours and their distance in Å.
Atoms (fractional coordinates):
1 Hf 0.7843 0.5686 0.7500  6 S 2.54-2.66
2 Hf 0.2157 0.4314 0.2500  6 S 2.54-2.66
3 S 0.0508 0.1016 0.1275  1 Hf 2.54, 2 Pa 2.65-2.66
4 S 0.0508 0.1016 0.3725  1 Hf 2.54, 2 Pa 2.65-2.66
5 S 0.6654 0.3309 0.5762  1 Hf 2.61, 3 Pa 2.67-2.80
6 S 0.9492 0.8984 0.6275  1 Hf 2.54, 2 Pa 2.65-2.66
7 S 0.9492 0.8984 0.8725  1 Hf 2.54, 2 Pa 2.65-2.66
8 S 0.3346 0.6691 0.4238  1 Hf 2.61, 3 Pa 2.67-2.80
9 S 0.3346 0.6691 0.0762  1 Hf 2.61, 3 Pa 2.67-2.80
10 Pa 0.1539 0.3077 0.9400  6 S 2.65-2.80
11 Pa 0.1539 0.3077 0.5600  6 S 2.65-2.80
12 Pa 0.8461 0.6923 0.4400  6 S 2.65-2.80
13 S 0.7341 0.4682 0.2500  2 Hf 2.66, 2 Pa 2.74
14 Pa 0.8461 0.6923 0.0600  6 S 2.65-2.80
15 S 0.2659 0.5318 0.7500  2 Hf 2.66, 2 Pa 2.74
16 S 0.6654 0.3309 0.9238  1 Hf 2.61, 3 Pa 2.67-2.80


Model two:
Density functional theory data (PBE-GGA) for crystalline HfPa2S5 at its relaxed geometry.

## Properties
Total magnetization in μB/cell: 10.49
DOS(E_F) in states/eV per atom: 1.06

abc: 7.1940 7.7236 11.4640
angles: 90.00 90.00 90.00
Last column: nearest neighbours and their distance in Å.
Atoms (fractional coordinates):
1 S 0.6661 0.4606 0.4097  2 Hf 2.54-2.63, 2 Pa 2.84
2 S 0.9550 0.7500 0.4991  1 Hf 2.68, 4 Pa 2.82-2.86
3 Hf 0.9172 0.7500 0.0005  7 S 2.54-2.74
4 S 0.8109 0.7500 0.2135  1 Hf 2.56, 4 Pa 2.80-2.81
5 Pa 0.0326 0.0006 0.3216  8 S 2.80-2.93
6 S 0.1891 0.2500 0.7865  1 Hf 2.56, 4 Pa 2.80-2.81
7 Pa 0.0326 0.4994 0.3216  8 S 2.80-2.93
8 Pa 0.4674 0.4994 0.8216  8 S 2.80-2.93
9 S 0.6661 0.0394 0.4097  2 Hf 2.54-2.63, 2 Pa 2.84
10 S 0.3339 0.9606 0.5903  2 Hf 2.54-2.63, 2 Pa 2.84
11 Pa 0.5326 0.9994 0.1784  8 S 2.80-2.93
12 S 0.3377 0.7500 0.3172  1 Hf 2.74, 4 Pa 2.87-2.93
13 S 0.1661 0.9606 0.0903  2 Hf 2.54-2.63, 2 Pa 2.84
14 S 0.3339 0.5394 0.5903  2 Hf 2.54-2.63, 2 Pa 2.84
15 S 0.8377 0.2500 0.1828  1 Hf 2.74, 4 Pa 2.87-2.93
16 S 0.8339 0.4606 0.9097  2 Hf 2.54-2.63, 2 Pa 2.84
17 S 0.3109 0.2500 0.2865  1 Hf 2.56, 4 Pa 2.80-2.81
18 S 0.6623 0.2500 0.6828  1 Hf 2.74, 4 Pa 2.87-2.93
19 S 0.4550 0.2500 0.0009  1 Hf 2.68, 4 Pa 2.82-2.86
20 S 0.0450 0.2500 0.5009  1 Hf 2.68, 4 Pa 2.82-2.86
21 Pa 0.5326 0.5006 0.1784  8 S 2.80-2.93
22 Pa 0.9674 0.9994 0.6784  8 S 2.80-2.93
23 S 0.1623 0.7500 0.8172  1 Hf 2.74, 4 Pa 2.87-2.93
24 Hf 0.4172 0.2500 0.4995  7 S 2.54-2.74
25 Pa 0.9674 0.5006 0.6784  8 S 2.80-2.93
26 S 0.6891 0.7500 0.7135  1 Hf 2.56, 4 Pa 2.80-2.81
27 S 0.5450 0.7500 0.9991  1 Hf 2.68, 4 Pa 2.82-2.86
28 Pa 0.4674 0.0006 0.8216  8 S 2.80-2.93
29 S 0.8339 0.0394 0.9097  2 Hf 2.54-2.63, 2 Pa 2.84
30 Hf 0.0828 0.2500 0.9995  7 S 2.54-2.74
31 S 0.1661 0.5394 0.0903  2 Hf 2.54-2.63, 2 Pa 2.84
32 Hf 0.5828 0.7500 0.5005  7 S 2.54-2.74


Which of them is the least stable? Correct choice: model one.


Model one:
Density functional theory data (PBE-GGA) for crystalline HfPaS3 at its relaxed geometry.

## Properties
Total magnetization in μB/cell: 3.02
DOS(E_F) in states/eV per atom: 0.76

abc: 3.5973 8.1433 13.6027
angles: 90.00 90.00 90.00
Last column: nearest neighbours and their distance in Å.
Atoms (fractional coordinates):
1 S 0.2500 0.0145 0.1216  3 Hf 2.51-2.57, 1 Pa 2.73
2 S 0.7500 0.1501 0.3051  1 Hf 2.60, 2 Pa 2.84
3 S 0.7500 0.3374 0.0461  2 Hf 2.57, 2 Pa 2.78
4 S 0.7500 0.9855 0.8784  3 Hf 2.51-2.57, 1 Pa 2.73
5 Hf 0.2500 0.1636 0.9603  6 S 2.51-2.60
6 S 0.2500 0.5145 0.3784  3 Hf 2.51-2.57, 1 Pa 2.73
7 Pa 0.2500 0.3576 0.2014  8 S 2.73-3.00
8 Pa 0.7500 0.1424 0.7014  8 S 2.73-3.00
9 S 0.7500 0.4855 0.6216  3 Hf 2.51-2.57, 1 Pa 2.73
10 Hf 0.7500 0.8364 0.0397  6 S 2.51-2.60
11 S 0.2500 0.8499 0.6949  1 Hf 2.60, 2 Pa 2.84
12 S 0.2500 0.3499 0.8051  1 Hf 2.60, 2 Pa 2.84
13 Pa 0.2500 0.8576 0.2986  8 S 2.73-3.00
14 Pa 0.7500 0.6424 0.7986  8 S 2.73-3.00
15 S 0.7500 0.8374 0.4539  2 Hf 2.57, 2 Pa 2.78
16 Hf 0.2500 0.6636 0.5397  6 S 2.51-2.60
17 S 0.2500 0.6626 0.9539  2 Hf 2.57, 2 Pa 2.78
18 S 0.2500 0.1626 0.5461  2 Hf 2.57, 2 Pa 2.78
19 S 0.7500 0.6501 0.1949  1 Hf 2.60, 2 Pa 2.84
20 Hf 0.7500 0.3364 0.4603  6 S 2.51-2.60


Model two:
Density functional theory data (PBE-GGA) for crystalline HfPaS3 at its relaxed geometry.

## Properties
Total magnetization in μB/cell: 1.68
DOS(E_F) in states/eV per atom: 0.93

abc: 3.6586 7.0923 8.4538
angles: 91.88 102.49 104.94
Last column: nearest neighbours and their distance in Å.
Atoms (fractional coordinates):
1 S 0.0835 0.0041 0.2460  3 Hf 2.55-2.56
2 S 0.8905 0.2448 0.6191  1 Hf 2.60, 3 Pa 2.74-2.86
3 S 0.4130 0.5417 0.3676  3 Hf 2.55-2.56
4 S 0.2957 0.7101 0.9645  2 Hf 2.59-2.60, 1 S 2.82, 2 Pa 2.90
5 Pa 0.9142 0.0189 0.8928  8 S 2.74-2.93
6 S 0.2008 0.8357 0.6492  2 Hf 2.59-2.60, 1 S 2.82, 2 Pa 2.90
7 Pa 0.5823 0.5269 0.7208  8 S 2.74-2.93
8 Hf 0.8617 0.6341 0.1725  6 S 2.55-2.60
9 S 0.6060 0.3010 0.9945  1 Hf 2.60, 3 Pa 2.74-2.86
10 Hf 0.6348 0.9117 0.4411  6 S 2.55-2.60


Which of them is the least stable? Correct choice: model two.